Run i
Here is OF4 after structural relaxation from Alexandria via LeMat-Bulk. Energies are from GGA-PBE.

The density comes out at 2.2 g/cm³.

The space group is C2/c (No. 15) and the conventional cell measures 8.483, 4.406 and 8.455 Å, with angles of 90.00, 117.88 and 90.00 degrees. The distinct sites, in fractional coordinates, are O at (0.000, 0.182, 0.250), F at (0.115, 0.394, 0.191) and F at (0.135, 0.029, 0.920).

Run ii
Here is OF4 after structural relaxation from Alexandria via LeMat-Bulk. Energies are from GGA-PBE.

The density comes out at 3.0 g/cm³.

The space group is Pm-3m (No. 221) and the conventional cell measures 3.695, 3.695 and 3.695 Å, with angles of 90.00, 90.00 and 90.00 degrees. The distinct sites, in fractional coordinates, are O at (0.000, 0.000, 0.000), F at (0.000, 0.000, 0.500) and F at (0.500, 0.500, 0.500).

Which of them is the most stable, and which is the least stable? run i and run ii, in that order.

Run i
Here is Os2OF after structural relaxation from Alexandria via LeMat-Bulk. Energies are from GGA-PBE.

The density comes out at 13.3 g/cm³.

The space group is I-42d (No. 122) and the conventional cell measures 3.818, 3.818 and 14.261 Å, with angles of 90.00, 90.00 and 90.00 degrees. The distinct sites, in fractional coordinates, are Os at (0.184, 0.250, 0.125), O at (0.000, 0.000, 0.000) and F at (0.000, 0.000, 0.500).

Run ii
Here is Os2OF after structural relaxation from Alexandria via LeMat-Bulk. Energies are from GGA-PBE.

The density comes out at 14.8 g/cm³.

The space group is Fm-3m (No. 225) and the conventional cell measures 5.712, 5.712 and 5.712 Å, with angles of 90.00, 90.00 and 90.00 degrees. The distinct sites, in fractional coordinates, are Os at (0.250, 0.250, 0.250), O at (0.000, 0.000, 0.000) and F at (0.000, 0.000, 0.500).

Which of them is the most stable, and which is the least stable? run i and run ii, in that order.

Run i
Here is OsO2F after structural relaxation from Alexandria via LeMat-Bulk. Energies are from GGA-PBE.

The density comes out at 11.9 g/cm³.

The space group is Fm-3m (No. 225) and the conventional cell measures 5.131, 5.131 and 5.131 Å, with angles of 90.00, 90.00 and 90.00 degrees. The distinct sites, in fractional coordinates, are Os at (0.000, 0.000, 0.000), O at (0.250, 0.250, 0.250) and F at (0.000, 0.000, 0.500).

Run ii
Here is OsO2F after structural relaxation from Alexandria via LeMat-Bulk. Energies are from GGA-PBE.

The density comes out at 6.8 g/cm³.

The space group is P2_1/c (No. 14) and the conventional cell measures 5.432, 4.878 and 10.392 Å, with angles of 90.00, 121.32 and 90.00 degrees. The distinct sites, in fractional coordinates, are Os at (0.173, 0.001, 0.422), O at (0.118, 0.699, 0.060), O at (0.497, 0.700, 0.940) and F at (0.131, 0.247, 0.750).

Run iii
Here is OsO2F after structural relaxation from Alexandria via LeMat-Bulk. Energies are from GGA-PBE.

The density comes out at 6.2 g/cm³.

The space group is I-42d (No. 122) and the conventional cell measures 5.512, 5.512 and 8.503 Å, with angles of 90.00, 90.00 and 90.00 degrees. The distinct sites, in fractional coordinates, are Os at (0.000, 0.000, 0.000), O at (0.108, 0.250, 0.125) and F at (0.000, 0.000, 0.500).

Which of them is the most stable, and which is the least stable? run ii and run i, in that order.

Run i
Here is OsPtOF2 after structural relaxation from Alexandria via LeMat-Bulk. Energies are from GGA-PBE.

The density comes out at 10.6 g/cm³.

The space group is P4/mmm (No. 123) and the conventional cell measures 4.327, 4.327 and 3.693 Å, with angles of 90.00, 90.00 and 90.00 degrees. The distinct sites, in fractional coordinates, are Os at (0.000, 0.000, 0.000), Pt at (0.500, 0.500, 0.500), O at (0.000, 0.000, 0.500) and F at (0.000, 0.500, 0.000).

Run ii
Here is OsPtOF2 after structural relaxation from Alexandria via LeMat-Bulk. Energies are from GGA-PBE.

The density comes out at 9.4 g/cm³.

The space group is P4/mmm (No. 123) and the conventional cell measures 4.531, 4.531 and 3.774 Å, with angles of 90.00, 90.00 and 90.00 degrees. The distinct sites, in fractional coordinates, are Os at (0.000, 0.000, 0.000), Pt at (0.500, 0.500, 0.500), O at (0.500, 0.500, 0.000) and F at (0.000, 0.500, 0.500).

Which of them is the most stable, and which is the least stable? run i and run ii, in that order.

Run i
Here is OsRhOF2 after structural relaxation from Alexandria via LeMat-Bulk. Energies are from GGA-PBE.

The density comes out at 7.6 g/cm³.

The space group is P4/mmm (No. 123) and the conventional cell measures 3.784, 3.784 and 5.274 Å, with angles of 90.00, 90.00 and 90.00 degrees. The distinct sites, in fractional coordinates, are Os at (0.000, 0.000, 0.000), Rh at (0.000, 0.000, 0.500), O at (0.500, 0.500, 0.000) and F at (0.000, 0.500, 0.500).

Run ii
Here is OsRhOF2 after structural relaxation from Alexandria via LeMat-Bulk. Energies are from GGA-PBE.

The density comes out at 8.2 g/cm³.

The space group is P4/mmm (No. 123) and the conventional cell measures 4.382, 4.382 and 3.683 Å, with angles of 90.00, 90.00 and 90.00 degrees. The distinct sites, in fractional coordinates, are Os at (0.000, 0.000, 0.000), Rh at (0.500, 0.500, 0.500), O at (0.000, 0.000, 0.500) and F at (0.000, 0.500, 0.000).

Which of them is the most stable, and which is the least stable? run ii and run i, in that order.

Run i
Here is SbOsOF2 after structural relaxation from Alexandria via LeMat-Bulk. Energies are from GGA-PBE.

The density comes out at 6.9 g/cm³.

The space group is P4/mmm (No. 123) and the conventional cell measures 4.552, 4.552 and 4.230 Å, with angles of 90.00, 90.00 and 90.00 degrees. The distinct sites, in fractional coordinates, are Sb at (0.000, 0.000, 0.000), Os at (0.500, 0.500, 0.500), O at (0.000, 0.000, 0.500) and F at (0.000, 0.500, 0.000).

Run ii
Here is SbOsOF2 after structural relaxation from Alexandria via LeMat-Bulk. Energies are from GGA-PBE.

The density comes out at 7.7 g/cm³.

The space group is P4/mmm (No. 123) and the conventional cell measures 4.633, 4.633 and 3.654 Å, with angles of 90.00, 90.00 and 90.00 degrees. The distinct sites, in fractional coordinates, are Sb at (0.000, 0.000, 0.000), Os at (0.500, 0.500, 0.500), O at (0.500, 0.500, 0.000) and F at (0.000, 0.500, 0.500).

Which of them is the most stable, and which is the least stable? run ii and run i, in that order.

Run i
Here is SnOsOF2 after structural relaxation from Alexandria via LeMat-Bulk. Energies are from GGA-PBE.

The density comes out at 7.7 g/cm³.

The space group is P4/mmm (No. 123) and the conventional cell measures 4.595, 4.595 and 3.709 Å, with angles of 90.00, 90.00 and 90.00 degrees. The distinct sites, in fractional coordinates, are Sn at (0.000, 0.000, 0.000), Os at (0.500, 0.500, 0.500), O at (0.500, 0.500, 0.000) and F at (0.000, 0.500, 0.500).

Run ii
Here is SnOsOF2 after structural relaxation from Alexandria via LeMat-Bulk. Energies are from GGA-PBE.

The density comes out at 7.2 g/cm³.

The space group is P4/mmm (No. 123) and the conventional cell measures 4.532, 4.532 and 4.089 Å, with angles of 90.00, 90.00 and 90.00 degrees. The distinct sites, in fractional coordinates, are Sn at (0.000, 0.000, 0.000), Os at (0.500, 0.500, 0.500), O at (0.000, 0.000, 0.500) and F at (0.000, 0.500, 0.000).

Which of them is the most stable, and which is the least stable? run i and run ii, in that order.

Run i
Here is TiOsOF2 after structural relaxation from Alexandria via LeMat-Bulk. Energies are from GGA-PBE.

The density comes out at 6.6 g/cm³.

The space group is P4/mmm (No. 123) and the conventional cell measures 4.422, 4.422 and 3.740 Å, with angles of 90.00, 90.00 and 90.00 degrees. The distinct sites, in fractional coordinates, are Ti at (0.000, 0.000, 0.000), Os at (0.500, 0.500, 0.500), O at (0.500, 0.500, 0.000) and F at (0.000, 0.500, 0.500).

Run ii
Here is TiOsOF2 after structural relaxation from Alexandria via LeMat-Bulk. Energies are from GGA-PBE.

The density comes out at 7.4 g/cm³.

The space group is P4/mmm (No. 123) and the conventional cell measures 4.119, 4.119 and 3.848 Å, with angles of 90.00, 90.00 and 90.00 degrees. The distinct sites, in fractional coordinates, are Ti at (0.000, 0.000, 0.000), Os at (0.500, 0.500, 0.500), O at (0.000, 0.000, 0.500) and F at (0.000, 0.500, 0.000).

Which of them is the most stable, and which is the least stable? run ii and run i, in that order.